{"formula": "TaNi3Pt4", "functional": "PBE-GGA", "state": "optimized geometry", "lattice_angstrom": [[-0.443, -1.376, 3.619], [-0.056, -3.640, -1.390], [7.503, -8.812, -4.530]], "species": ["Pt", "Pt", "Pt", "Ni", "Pt", "Ta", "Ni", "Ni"], "fractional_positions": [[0.373, 0.133, 0.747], [0.873, 0.633, 0.747], [0.627, 0.867, 0.253], [0.247, 0.265, 0.494], [0.127, 0.367, 0.253], [0.500, 0.000, 0.000], [0.753, 0.735, 0.506], [0.000, 0.500, 0.000]], "magmom_total_mub_per_atom": 0.15, "ef_ev_per_atom": -0.40, "dos_at_fermi_per_ev_cell": 9.6}


{"formula": "Ta2NiPt4", "functional": "PBE-GGA", "state": "optimized geometry", "lattice_angstrom": [[6.521, 0.000, -0.407], [0.000, 5.175, 0.000], [-2.891, 0.000, 6.870]], "species": ["Ta", "Pt", "Pt", "Pt", "Ta", "Ni", "Ni", "Ta", "Ta", "Pt", "Pt", "Pt", "Pt", "Pt"], "fractional_positions": [[0.361, 0.250, 0.450], [0.588, 0.497, 0.220], [0.058, 0.750, 0.820], [0.045, 0.750, 0.431], [0.186, 0.250, 0.975], [0.249, 0.750, 0.212], [0.751, 0.250, 0.788], [0.639, 0.750, 0.550], [0.814, 0.750, 0.025], [0.955, 0.250, 0.569], [0.942, 0.250, 0.180], [0.412, 0.997, 0.780], [0.412, 0.503, 0.780], [0.588, 0.003, 0.220]], "magmom_total_mub_per_atom": 0.00, "ef_ev_per_atom": -0.41, "dos_at_fermi_per_ev_cell": 11.5}


{"formula": "TaNi2Pt2", "functional": "PBE-GGA", "state": "optimized geometry", "lattice_angstrom": [[-3.799, 0.821, 5.981], [-5.348, -3.736, -2.884], [1.122, -2.412, 1.044]], "species": ["Ta", "Ni", "Ni", "Pt", "Pt", "Ni", "Pt", "Ta", "Ni", "Pt"], "fractional_positions": [[0.000, 0.000, 0.000], [0.838, 0.338, 0.500], [0.662, 0.838, 0.500], [0.364, 0.864, 0.000], [0.864, 0.636, 0.000], [0.162, 0.662, 0.500], [0.136, 0.364, 0.000], [0.500, 0.500, 0.000], [0.338, 0.162, 0.500], [0.636, 0.136, 0.000]], "magmom_total_mub_per_atom": 0.00, "ef_ev_per_atom": -0.17, "e_above_lowest_polymorph_mev_per_atom": 289.2, "dos_at_fermi_per_ev_cell": 8.3}


{"formula": "Ta4NiPt", "functional": "PBE-GGA", "state": "optimized geometry", "lattice_angstrom": [[5.052, 0.000, 0.000], [0.000, 6.328, 0.000], [0.000, 0.000, 6.328]], "species": ["Ta", "Ni", "Ta", "Ta", "Ta", "Ta", "Ta", "Ni", "Ta", "Ta", "Pt", "Pt"], "fractional_positions": [[0.500, 0.648, 0.165], [0.750, 0.500, 0.500], [0.500, 0.352, 0.835], [0.000, 0.835, 0.352], [0.500, 0.165, 0.352], [0.000, 0.648, 0.835], [0.000, 0.165, 0.648], [0.250, 0.500, 0.500], [0.000, 0.352, 0.165], [0.500, 0.835, 0.648], [0.250, 0.000, 0.000], [0.750, 0.000, 0.000]], "magmom_total_mub_per_atom": 0.00, "ef_ev_per_atom": -0.31, "e_above_lowest_polymorph_mev_per_atom": 0.0, "dos_at_fermi_per_ev_cell": 11.7}